# 1
Below is a relaxed structure of Hf4NbOs, with properties calculated at the PBE level.

Cell: 4.5552 4.5669 7.9581 Å, 125.01 90.00 90.00°
Element x y z (fractional)
Hf  0.0000  0.2421  0.7418
Hf  0.0000  0.7579  0.2582
Hf  0.5000  0.7427  0.7424
Hf  0.5000  0.2573  0.2576
Nb  0.5000  0.5000  0.0000
Os  0.0000  0.5000  0.5000

Computed properties:
* energy of formation from the pure elements: 179.6 meV per atom
* SG: Pmmm (47)
* N(E_F): 1.02 states/eV/atom

---

# 2
Below is a relaxed structure of Hf3NbOs2, with properties calculated at the PBE level.

Cell: 3.2488 3.2488 10.3052 Å, 90.00 90.00 90.00°
Element x y z (fractional)
Hf  0.0000  0.0000  0.3162
Hf  0.0000  0.0000  0.0000
Hf  0.0000  0.0000  0.6838
Os  0.5000  0.5000  0.8412
Os  0.5000  0.5000  0.1588
Nb  0.5000  0.5000  0.5000

Computed properties:
* energy of formation from the pure elements: -449.4 meV per atom
* SG: P4/mmm (123)
* N(E_F): 0.66 states/eV/atom

---

# 3
Below is a relaxed structure of Hf5NbOs4, with properties calculated at the PBE level.

Cell: 3.2479 3.2479 16.8320 Å, 90.00 90.00 90.00°
Element x y z (fractional)
Os  0.0000  0.0000  0.4031
Os  0.0000  0.0000  0.2090
Os  0.0000  0.0000  0.5969
Os  0.0000  0.0000  0.7910
Hf  0.5000  0.5000  0.5000
Hf  0.5000  0.5000  0.1121
Hf  0.5000  0.5000  0.3056
Hf  0.5000  0.5000  0.8879
Hf  0.5000  0.5000  0.6944
Nb  0.0000  0.0000  0.0000

Computed properties:
* energy of formation from the pure elements: -554.2 meV per atom
* SG: P4/mmm (123)
* N(E_F): 0.46 states/eV/atom

---

# 4
Below is a relaxed structure of Hf4NbOs5, with properties calculated at the PBE level.

Cell: 3.2357 3.2357 16.2352 Å, 90.00 90.00 90.00°
Element x y z (fractional)
Os  0.5000  0.5000  0.7009
Os  0.5000  0.5000  0.2991
Os  0.5000  0.5000  0.5000
Os  0.5000  0.5000  0.9013
Os  0.5000  0.5000  0.0987
Hf  0.0000  0.0000  0.1988
Hf  0.0000  0.0000  0.6005
Hf  0.0000  0.0000  0.3995
Hf  0.0000  0.0000  0.8012
Nb  0.0000  0.0000  0.0000

Computed properties:
* energy of formation from the pure elements: -578.1 meV per atom
* SG: P4/mmm (123)
* N(E_F): 0.37 states/eV/atom

---

# 5
Below is a relaxed structure of HfNbOs4, with properties calculated at the PBE level.

Cell: 5.1917 5.1917 5.1917 Å, 60.00 60.00 60.00°
Element x y z (fractional)
Os  0.1237  0.6254  0.6254
Os  0.6254  0.6254  0.1237
Os  0.6254  0.1237  0.6254
Os  0.6254  0.6254  0.6254
Hf  0.0000  0.0000  0.0000
Nb  0.2500  0.2500  0.2500

Computed properties:
* energy of formation from the pure elements: -160.3 meV per atom
* SG: F-43m (216)
* N(E_F): 0.93 states/eV/atom

---

# 6
Below is a relaxed structure of HfNbOs, with properties calculated at the PBE level.

Cell: 3.2240 3.2240 5.5986 Å, 106.73 106.73 90.00°
Element x y z (fractional)
Nb  0.2934  0.2934  0.5868
Hf  0.6099  0.6099  0.2197
Os  0.9467  0.9467  0.8934

Computed properties:
* energy of formation from the pure elements: -368.3 meV per atom
* SG: I4mm (107)
* N(E_F): 0.46 states/eV/atom

---

# 7
Below is a relaxed structure of PuHfNbOs, with properties calculated at the PBE level.

Cell: 4.7175 4.7175 4.7175 Å, 60.00 60.00 60.00°
Site moments in Bohr magnetons follow the coordinates.
Element x y z (fractional)
Hf  0.5000  0.5000  0.5000  0.05
Os  0.2500  0.2500  0.2500  -0.25
Pu  0.7500  0.7500  0.7500  4.88
Nb  0.0000  0.0000  0.0000  0.00

Computed properties:
* energy of formation from the pure elements: 54.9 meV per atom
* SG: F-43m (216)
* N(E_F): 2.60 states/eV/atom

---

# 8
Below is a relaxed structure of HfNbOs2S, with properties calculated at the PBE level.

Cell: 4.3689 4.5568 4.3689 Å, 90.00 90.00 90.00°
Element x y z (fractional)
Os  0.0000  0.0000  0.5000
Os  0.5000  0.0000  0.0000
S  0.0000  0.0000  0.0000
Hf  0.5000  0.5000  0.5000
Nb  0.0000  0.5000  0.0000

Computed properties:
* SG: P4/mmm (123)
* E_form (uncorrected): 0.2714 eV per atom
* N(E_F): 0.82 states/eV/atom

---

# 9
Below is a relaxed structure of HfNbSi2Os, with properties calculated at the PBE level.

Cell: 4.5224 5.1095 4.5224 Å, 90.00 90.00 90.00°
Site moments in Bohr magnetons follow the coordinates.
Element x y z (fractional)
Si  0.0000  0.0000  0.5000  -0.01
Si  0.5000  0.0000  0.0000  0.01
Os  0.0000  0.0000  0.0000  0.20
Nb  0.5000  0.5000  0.5000  1.27
Hf  0.0000  0.5000  0.0000  -0.09

Computed properties:
* SG: P4/mmm (123)
* E_form (uncorrected): 0.7204 eV per atom
* N(E_F): 1.34 states/eV/atom

---

# 10
Below is a relaxed structure of SrHf2NbOs, with properties calculated at the PBE level.

Cell: 4.9477 4.7140 4.9477 Å, 90.00 90.00 90.00°
Element x y z (fractional)
Hf  0.0000  0.0000  0.5000
Hf  0.5000  0.0000  0.0000
Sr  0.0000  0.0000  0.0000
Os  0.0000  0.5000  0.0000
Nb  0.5000  0.5000  0.5000

Computed properties:
* energy of formation from the pure elements: 2482.7 meV per atom
* SG: P4/mmm (123)
* N(E_F): 1.94 states/eV/atom

---

# 11
Below is a relaxed structure of HfNbTcOs, with properties calculated at the PBE level.

Cell: 3.2199 4.5747 4.5448 Å, 90.00 90.00 90.00°
Element x y z (fractional)
Nb  0.0000  0.0000  0.0000
Os  0.5000  0.5000  0.0000
Tc  0.5000  0.0000  0.5000
Hf  0.0000  0.5000  0.5000

Computed properties:
* energy of formation from the pure elements: -486.9 meV per atom
* SG: Pmmm (47)
* N(E_F): 0.28 states/eV/atom

---

# 12
Below is a relaxed structure of Hf5Zr2NbOs2, with properties calculated at the PBE level.

Cell: 3.6800 10.7007 10.7007 Å, 90.00 90.00 90.00°
Element x y z (fractional)
Hf  0.5000  0.7048  0.4476
Hf  0.5000  0.0524  0.7952
Hf  0.5000  0.7952  0.9476
Hf  0.5000  0.0000  0.5000
Hf  0.5000  0.2952  0.5524
Hf  0.5000  0.2048  0.0524
Hf  0.5000  0.9476  0.2048
Hf  0.5000  0.5524  0.7048
Hf  0.5000  0.5000  0.0000
Hf  0.5000  0.4476  0.2952
Zr  0.0000  0.6823  0.1823
Zr  0.0000  0.1823  0.3177
Zr  0.0000  0.8177  0.6823
Zr  0.0000  0.3177  0.8177
Nb  0.0000  0.0000  0.0000
Nb  0.0000  0.5000  0.5000
Os  0.0000  0.8667  0.3667
Os  0.0000  0.6333  0.8667
Os  0.0000  0.1333  0.6333
Os  0.0000  0.3667  0.1333

Computed properties:
* energy of formation from the pure elements: -108.4 meV per atom
* SG: P4/mbm (127)
* N(E_F): 1.40 states/eV/atom

---

# 13
Below is a relaxed structure of Hf2NbP2, with properties calculated at the PBE level.

Cell: 5.2849 7.0738 6.5503 Å, 122.68 113.79 90.00°
Element x y z (fractional)
P  0.1022  0.8873  0.2044
P  0.8978  0.1127  0.7956
P  0.3978  0.6829  0.7956
P  0.6022  0.3171  0.2044
Nb  0.2500  0.5000  0.0000
Nb  0.7500  0.5000  0.0000
Hf  0.1601  0.2993  0.3202
Hf  0.3399  0.9791  0.6798
Hf  0.6601  0.0209  0.3202
Hf  0.8399  0.7007  0.6798

Computed properties:
* energy of formation from the pure elements: -920.6 meV per atom
* SG: Ibam (72)
* N(E_F): 0.53 states/eV/atom

---

# 14
Below is a relaxed structure of HfNb2P, with properties calculated at the PBE level.

Cell: 3.5237 5.2745 8.0329 Å, 90.00 90.00 109.52°
Element x y z (fractional)
Nb  0.6482  0.2965  0.0535
Nb  0.6482  0.2965  0.4465
Nb  0.3518  0.7035  0.5535
Nb  0.3518  0.7035  0.9465
P  0.2457  0.4914  0.2500
P  0.7543  0.5086  0.7500
Hf  0.0426  0.0850  0.7500
Hf  0.9574  0.9150  0.2500

Computed properties:
* energy of formation from the pure elements: -775.5 meV per atom
* SG: Cmcm (63)
* N(E_F): 0.41 states/eV/atom

---

# 15
Below is a relaxed structure of HfNbP3, with properties calculated at the PBE level.

Cell: 4.7329 4.7329 4.7329 Å, 90.00 90.00 90.00°
Element x y z (fractional)
P  0.5000  0.0000  0.0000
P  0.0000  0.5000  0.0000
P  0.0000  0.0000  0.5000
Hf  0.5000  0.5000  0.5000
Nb  0.0000  0.0000  0.0000

Computed properties:
* energy of formation from the pure elements: 405.7 meV per atom
* SG: Pm-3m (221)
* N(E_F): 0.74 states/eV/atom

---

# 16
Below is a relaxed structure of HfNb2P, with properties calculated at the PBE level.

Cell: 7.7971 7.7971 6.0785 Å, 50.11 50.11 90.00°
Element x y z (fractional)
Nb  0.2046  0.6250  0.2500
Nb  0.5454  0.1250  0.2500
Nb  0.8750  0.7954  0.7500
Nb  0.3750  0.4546  0.7500
P  0.2500  0.7500  0.5000
P  0.5000  0.5000  0.0000
Hf  0.0000  0.0000  0.0000
Hf  0.7500  0.2500  0.5000

Computed properties:
* energy of formation from the pure elements: -147.6 meV per atom
* SG: I-42d (122)
* N(E_F): 1.15 states/eV/atom

---

# 17
Below is a relaxed structure of Hf2NbP, with properties calculated at the PBE level.

Cell: 7.8995 7.8995 6.1552 Å, 50.08 50.08 90.00°
Element x y z (fractional)
P  0.2500  0.7500  0.5000
P  0.5000  0.5000  0.0000
Hf  0.8750  0.8082  0.7500
Hf  0.1918  0.6250  0.2500
Hf  0.5582  0.1250  0.2500
Hf  0.3750  0.4418  0.7500
Nb  0.7500  0.2500  0.5000
Nb  0.0000  0.0000  0.0000

Computed properties:
* energy of formation from the pure elements: -76.7 meV per atom
* SG: I-42d (122)
* N(E_F): 0.55 states/eV/atom

---

# 18
Below is a relaxed structure of Hf2NbP2, with properties calculated at the PBE level.

Cell: 6.8066 6.8066 3.6004 Å, 90.00 90.00 90.00°
Element x y z (fractional)
Hf  0.6616  0.8384  0.5000
Hf  0.8384  0.3384  0.5000
Hf  0.3384  0.1616  0.5000
Hf  0.1616  0.6616  0.5000
P  0.8587  0.6413  0.0000
P  0.3587  0.8587  0.0000
P  0.1413  0.3587  0.0000
P  0.6413  0.1413  0.0000
Nb  0.0000  0.0000  0.0000
Nb  0.5000  0.5000  0.0000

Computed properties:
* energy of formation from the pure elements: -1045.5 meV per atom
* SG: P4/mbm (127)
* N(E_F): 0.56 states/eV/atom

---

# 19
Below is a relaxed structure of HfNbP3, with properties calculated at the PBE level.

Cell: 4.8356 4.8356 4.8356 Å, 90.00 90.00 90.00°
Element x y z (fractional)
Nb  0.5000  0.5000  0.5000
P  0.0000  0.5000  0.0000
P  0.0000  0.0000  0.5000
P  0.5000  0.0000  0.0000
Hf  0.0000  0.0000  0.0000

Computed properties:
* energy of formation from the pure elements: 776.7 meV per atom
* SG: Pm-3m (221)
* N(E_F): 1.94 states/eV/atom

---

# 20
Below is a relaxed structure of Hf2NbP, with properties calculated at the PBE level.

Cell: 3.3197 3.3197 8.9323 Å, 79.29 79.29 60.00°
Element x y z (fractional)
Hf  0.1039  0.1039  0.6884
Hf  0.8961  0.8961  0.3116
Nb  0.0000  0.0000  0.0000
P  0.5000  0.5000  0.5000

Computed properties:
* energy of formation from the pure elements: -56.2 meV per atom
* SG: R-3m (166)
* N(E_F): 0.47 states/eV/atom

---

# 21
Below is a relaxed structure of HfNbReP2, with properties calculated at the PBE level.

Cell: 4.6429 4.8949 4.6429 Å, 90.00 90.00 90.00°
Site moments in Bohr magnetons follow the coordinates.
Element x y z (fractional)
P  0.0000  0.0000  0.5000  0.00
P  0.5000  0.0000  0.0000  0.00
Nb  0.0000  0.0000  0.0000  -0.01
Re  0.0000  0.5000  0.0000  0.18
Hf  0.5000  0.5000  0.5000  -0.03

Computed properties:
* energy of formation from the pure elements: 966.8 meV per atom
* SG: P4/mmm (123)
* N(E_F): 0.76 states/eV/atom

---

# 22
Below is a relaxed structure of Hf2NbPRh, with properties calculated at the PBE level.

Cell: 4.9518 4.7718 4.9518 Å, 90.00 90.00 90.00°
Element x y z (fractional)
Hf  0.0000  0.0000  0.5000
Hf  0.5000  0.0000  0.0000
Rh  0.0000  0.0000  0.0000
P  0.5000  0.5000  0.5000
Nb  0.0000  0.5000  0.0000

Computed properties:
* energy of formation from the pure elements: 564.6 meV per atom
* SG: P4/mmm (123)
* N(E_F): 0.91 states/eV/atom

---

# 23
Below is a relaxed structure of Hf2ScNbP, with properties calculated at the PBE level.

Cell: 5.0058 5.0675 5.0058 Å, 90.00 90.00 90.00°
Element x y z (fractional)
Hf  0.5000  0.0000  0.0000
Hf  0.0000  0.0000  0.5000
Sc  0.0000  0.5000  0.0000
Nb  0.0000  0.0000  0.0000
P  0.5000  0.5000  0.5000

Computed properties:
* energy of formation from the pure elements: 1017.4 meV per atom
* SG: P4/mmm (123)
* N(E_F): 1.35 states/eV/atom

---

# 24
Below is a relaxed structure of HfScNb2P, with properties calculated at the PBE level.

Cell: 4.9853 4.8477 4.9853 Å, 90.00 90.00 90.00°
Element x y z (fractional)
Nb  0.0000  0.0000  0.5000
Nb  0.5000  0.0000  0.0000
Sc  0.5000  0.5000  0.5000
Hf  0.0000  0.0000  0.0000
P  0.0000  0.5000  0.0000

Computed properties:
* energy of formation from the pure elements: 1050.4 meV per atom
* SG: P4/mmm (123)
* N(E_F): 1.30 states/eV/atom

---

# 25
Below is a relaxed structure of HfPaNb, with properties calculated at the PBE level.

Cell: 3.1566 3.1566 14.1025 Å, 96.43 96.43 90.00°
Element x y z (fractional)
Hf  0.9458  0.9458  0.8916
Hf  0.0542  0.0542  0.1084
Nb  0.2194  0.2194  0.4387
Nb  0.7806  0.7806  0.5613
Pa  0.6404  0.6404  0.2808
Pa  0.3596  0.3596  0.7192

Computed properties:
* energy of formation from the pure elements: 331.8 meV per atom
* SG: I4/mmm (139)
* N(E_F): 1.76 states/eV/atom

---

# 26
Below is a relaxed structure of HfPa6Nb2, with properties calculated at the PBE level.

Cell: 8.8242 8.8242 3.0399 Å, 84.02 84.02 60.43°
Element x y z (fractional)
Pa  0.6628  0.9990  0.6341
Pa  0.9990  0.6628  0.6341
Pa  0.0010  0.3372  0.3659
Pa  0.6666  0.3334  0.5000
Pa  0.3334  0.6666  0.5000
Pa  0.3372  0.0010  0.3659
Nb  0.3358  0.3358  0.9836
Nb  0.6642  0.6642  0.0164
Hf  0.0000  0.0000  0.0000

Computed properties:
* energy of formation from the pure elements: 68.6 meV per atom
* SG: C2/m (12)
* N(E_F): 1.72 states/eV/atom